1 | A plane-wave DFT calculation with GGA-PBE was carried out for a geometry-optimized RbTaCd structure.

Cell and atoms, written as CIF:
```
data_RbTaCd
_chemical_formula_sum 'Rb2 Ta2 Cd2'
_cell_length_a 3.5429
_cell_length_b 3.5475
_cell_length_c 15.1099
_cell_angle_alpha 90.20
_cell_angle_beta 96.29
_cell_angle_gamma 90.00
_space_group_name_H-M_alt 'P -1'
_space_group_IT_number 2
_space_group_name_Hall '-P 1'
loop_
_atom_site_label
_atom_site_type_symbol
_atom_site_fract_x
_atom_site_fract_y
_atom_site_fract_z
_atom_site_occupancy
Rb1 Rb 0.0877 0.2433 0.1518 1
Ta1 Ta 0.2309 0.2495 0.4593 1
Cd1 Cd 0.3255 0.2522 0.6610 1
```


2 | A plane-wave DFT calculation with GGA-PBE was carried out for a geometry-optimized RbTaCd structure.

Cell and atoms, written as CIF:
```
data_RbTaCd
_chemical_formula_sum 'Rb2 Ta2 Cd2'
_cell_length_a 3.2823
_cell_length_b 4.9273
_cell_length_c 13.0560
_cell_angle_alpha 90.00
_cell_angle_beta 90.07
_cell_angle_gamma 90.00
_space_group_name_H-M_alt 'P 1 m 1'
_space_group_IT_number 6
_space_group_name_Hall 'P -2y'
loop_
_atom_site_label
_atom_site_type_symbol
_atom_site_fract_x
_atom_site_fract_y
_atom_site_fract_z
_atom_site_occupancy
Rb1 Rb 0.0000 0.0000 0.0000 1
Rb2 Rb 0.4926 0.5000 0.3308 1
Ta1 Ta 0.4971 0.0000 0.5775 1
Ta2 Ta 0.9977 0.0000 0.7346 1
Cd1 Cd 0.4980 0.5000 0.7868 1
Cd2 Cd 0.9971 0.5000 0.5813 1
```


Which structure is the most stable? The one labeled 1.


1 | A plane-wave DFT calculation with GGA-PBE was carried out for a geometry-optimized KSi structure.

Cell and atoms, written as CIF:
```
data_KSi
_chemical_formula_sum 'K1 Si1'
_cell_length_a 3.2893
_cell_length_b 3.2893
_cell_length_c 5.6634
_cell_angle_alpha 90.00
_cell_angle_beta 90.00
_cell_angle_gamma 120.00
_space_group_name_H-M_alt 'P -6 m 2'
_space_group_IT_number 187
_space_group_name_Hall 'P -6 2'
loop_
_atom_site_label
_atom_site_type_symbol
_atom_site_fract_x
_atom_site_fract_y
_atom_site_fract_z
_atom_site_occupancy
K1 K 0.0000 0.0000 0.0000 1
Si1 Si 0.6667 0.3333 0.5000 1
```


2 | A plane-wave DFT calculation with GGA-PBE was carried out for a geometry-optimized KSi structure.

Cell and atoms, written as CIF:
```
data_KSi
_chemical_formula_sum 'K4 Si4'
_cell_length_a 2.6253
_cell_length_b 13.3792
_cell_length_c 6.5871
_cell_angle_alpha 90.00
_cell_angle_beta 90.00
_cell_angle_gamma 90.00
_space_group_name_H-M_alt 'C m c m'
_space_group_IT_number 63
_space_group_name_Hall '-C 2c 2'
loop_
_atom_site_label
_atom_site_type_symbol
_atom_site_fract_x
_atom_site_fract_y
_atom_site_fract_z
_atom_site_occupancy
K1 K 0.0000 0.1245 0.2500 1
Si1 Si 0.0000 0.3795 0.2500 1
```


Which structure is the most stable? The one labeled 2.